[1]
Compound: BiPd2O3
Source: Alexandria via LeMat-Bulk
Functional: PBE
Structure: optimized geometry

The energy comes out at -5.16 eV/atom.

It has space group C2/c (No. 15), with a = 10.0914 Å, b = 4.8725 Å, c = 7.0589 Å, α = 90.00°, β = 111.50° and γ = 90.00°. The inequivalent atoms are Bi at (0.0000, 0.0252, 0.2500), Pd at (0.1631, 0.4901, 0.5787), O at (0.0000, 0.4449, 0.7500) and O at (0.1751, 0.0207, 0.0912).

[2]
Compound: BiPdO2
Source: Alexandria via LeMat-Bulk
Functional: PBE
Structure: optimized geometry

The energy comes out at -5.15 eV/atom.

It has space group I-42d (No. 122), with a = 4.4529 Å, b = 4.4529 Å, c = 13.1113 Å, α = 90.00°, β = 90.00° and γ = 90.00°. The inequivalent atoms are Bi at (0.0000, 0.0000, 0.0000), Pd at (0.0000, 0.0000, 0.5000) and O at (0.2257, 0.2500, 0.6250).

[3]
Compound: BiPdO4
Source: Alexandria via LeMat-Bulk
Functional: PBE
Structure: optimized geometry

The energy comes out at -5.42 eV/atom.

It has space group Pnc2 (No. 30), with a = 5.4413 Å, b = 4.9769 Å, c = 5.8207 Å, α = 90.00°, β = 90.00° and γ = 90.00°. The inequivalent atoms are Bi at (0.0000, 0.0000, 0.0000), Pd at (0.5000, 0.0000, 0.3240), O at (0.1882, 0.2094, 0.2861) and O at (0.3374, 0.7479, 0.5796).

[4]
Compound: BiPd2O6
Source: Alexandria via LeMat-Bulk
Functional: PBE
Structure: optimized geometry

The energy comes out at -5.33 eV/atom.

It has space group C2/m (No. 12), with a = 12.8388 Å, b = 3.2864 Å, c = 5.9935 Å, α = 90.00°, β = 95.16° and γ = 90.00°. The inequivalent atoms are Bi at (0.0000, 0.0000, 0.0000), Pd at (0.1699, 0.5000, 0.3431), O at (0.0136, 0.5000, 0.2565), O at (0.1735, 0.0000, 0.1322) and O at (0.1744, 0.0000, 0.5595).

[5]
Compound: BiPdO3
Source: Alexandria via LeMat-Bulk
Functional: PBE
Structure: optimized geometry

The energy comes out at -5.22 eV/atom.

It has space group Pm-3m (No. 221), with a = 3.9935 Å, b = 3.9935 Å, c = 3.9935 Å, α = 90.00°, β = 90.00° and γ = 90.00°. The inequivalent atoms are Bi at (0.0000, 0.0000, 0.0000), Pd at (0.5000, 0.5000, 0.5000) and O at (0.0000, 0.5000, 0.5000).

[6]
Compound: BiPdO
Source: Alexandria via LeMat-Bulk
Functional: PBE
Structure: optimized geometry

The energy comes out at -5.24 eV/atom.

It has space group P2_1/c (No. 14), with a = 8.3426 Å, b = 4.8701 Å, c = 5.5166 Å, α = 90.00°, β = 102.08° and γ = 90.00°. The inequivalent atoms are Bi at (0.1958, 0.0115, 0.2455), Pd at (0.4841, 0.2450, 0.1190) and O at (0.1088, 0.0825, 0.8400).

[7]
Compound: Pm2BiPdO5
Source: Alexandria via LeMat-Bulk
Functional: PBE
Structure: optimized geometry

The energy comes out at -6.77 eV/atom.

It has space group P4/mbm (No. 127), with a = 6.7764 Å, b = 6.7764 Å, c = 5.8208 Å, α = 90.00°, β = 90.00° and γ = 90.00°. The inequivalent atoms are Pm at (0.1721, 0.3279, 0.0000), Bi at (0.0000, 0.0000, 0.5000), Pd at (0.0000, 0.5000, 0.5000), O at (0.0000, 0.0000, 0.0000) and O at (0.1406, 0.6406, 0.2440).

[8]
Compound: PmBi2PdO4
Source: Alexandria via LeMat-Bulk
Functional: PBE
Structure: optimized geometry

The energy comes out at -6.22 eV/atom.

It has space group P4/mmm (No. 123), with a = 3.9262 Å, b = 3.9262 Å, c = 8.9901 Å, α = 90.00°, β = 90.00° and γ = 90.00°. The inequivalent atoms are Pm at (0.0000, 0.0000, 0.0000), Bi at (0.5000, 0.5000, 0.2881), Pd at (0.0000, 0.0000, 0.5000) and O at (0.0000, 0.5000, 0.1620).

no.,raw formation energy (kJ/mol of atoms)
1,-28.77
2,-38.90
3,-58.08
4,-42.78
5,-41.98
6,-54.70
7,-188.28
8,-147.43